Record 1
DFT (PBE) results for a geometry-optimized MoPtRh structure.

```
MoPtRh
1.0
4.8141 0.0052 -0.0011
2.4269 4.1576 0.0011
-3.2150 -2.7867 2.2524
Mo Rh Pt
1 1 1
Cartesian
0.0226 0.0130 0.0000
4.7966 2.7576 0.0000
2.4217 1.3922 0.0000
```

Summary:
The uncorrected energy comes out at -8.390 eV per atom. The density of states at the Fermi level comes out at 2.07 states/eV per cell. As for the energy above the most stable polymorph in this dataset: 0.0 meV per atom.



Record 2
DFT (PBE) results for a geometry-optimized MoPt2Rh6 structure.

```
MoPt2Rh6
1.0
3.8866 0.0000 0.0000
1.9433 4.3349 -0.0226
1.9433 1.8128 7.7955
Mo Pt Rh
1 2 6
Cartesian
1.9433 3.0738 3.8864
3.8866 3.9414 5.6067
3.8866 2.2063 2.1661
5.8298 4.8713 7.3751
1.9433 1.2764 0.3977
1.9433 3.8989 1.3068
3.8866 4.7876 3.0147
5.8298 2.2488 6.4661
3.8866 1.3601 4.7581
```

Summary:
The uncorrected energy comes out at -7.591 eV per atom. The density of states at the Fermi level comes out at 10.00 states/eV per cell. As for the energy above the most stable polymorph in this dataset: 0.0 meV per atom.



Record 3
DFT (PBE) results for a geometry-optimized Mo2Pt5Rh5 structure.

```
Mo2Pt5Rh5
1.0
4.6661 0.0000 0.0000
-2.3331 6.0568 0.0795
0.0000 -3.2495 6.4554
Mo Pt Rh
2 5 5
Cartesian
0.0000 -0.7069 5.1809
2.3331 3.5142 1.3540
2.3331 -1.6248 3.2277
2.3331 -1.8974 6.0350
2.3331 0.9821 2.2722
0.0000 1.8252 4.2627
0.0000 4.7047 0.4999
0.0000 -0.3512 2.6274
2.3331 0.6097 5.0800
0.0000 2.1976 1.4549
2.3331 3.1585 3.9075
0.0000 0.0000 0.0000
```

Summary:
The uncorrected energy comes out at -7.414 eV per atom. The density of states at the Fermi level comes out at 13.04 states/eV per cell. As for the energy above the most stable polymorph in this dataset: 211.6 meV per atom.



Record 4
DFT (PBE) results for a geometry-optimized MoPt2Rh6 structure.

```
MoPt2Rh6
1.0
-4.1164 -2.3916 1.8161
4.1472 -0.6084 6.1262
-2.4187 6.9214 1.1594
Mo Pt Rh
2 4 12
Cartesian
2.4415 -0.4304 6.0684
-4.8294 4.3518 3.0333
0.1847 1.7725 3.0267
-0.2085 2.9940 5.3984
-2.5726 2.1490 6.0751
-2.1794 0.9274 3.7034
-2.4851 3.6826 3.8170
-4.6077 2.0783 4.1907
0.0972 0.2388 5.2848
2.2198 1.8431 4.9110
-0.3947 1.5738 7.6460
-1.5687 -1.6954 4.2419
-1.9932 2.3477 1.4557
-0.8193 5.6168 4.8599
-0.4514 -0.5999 2.0257
1.3469 4.3120 7.0948
-1.9365 4.5213 7.0761
-3.7349 -0.3906 2.0069
```

Summary:
The uncorrected energy comes out at -7.349 eV per atom. The density of states at the Fermi level comes out at 24.56 states/eV per cell. As for the energy above the most stable polymorph in this dataset: 241.7 meV per atom.



Total moment readings, ordered: 0.00; 0.00; 0.00; 0.00 μB per formula unit